(1)
Here is a relaxed PrDy2Co6 crystal from the Alexandria database. Energies are from PBE-GGA.

## Properties
Energy of formation in eV/atom: -0.13

Geometry as CIF:
```
data_PrDy2Co6
_symmetry_space_group_name_H-M 'P 1'
_symmetry_Int_Tables_number 1
_cell_length_a 6.700
_cell_length_b 6.700
_cell_length_c 4.113
_cell_angle_alpha 90.00
_cell_angle_beta 90.00
_cell_angle_gamma 120.00
loop_
_symmetry_equiv_pos_as_xyz
'x,y,z'
loop_
_atom_site_label
_atom_site_type_symbol
_atom_site_fract_x
_atom_site_fract_y
_atom_site_fract_z
Pr1 Pr 0.000 0.000 0.000
Dy1 Dy 0.333 0.667 0.000
Dy2 Dy 0.667 0.333 0.000
Co1 Co 0.000 0.336 0.500
Co2 Co 0.000 0.664 0.500
Co3 Co 0.336 0.000 0.500
Co4 Co 0.336 0.336 0.500
Co5 Co 0.664 0.000 0.500
Co6 Co 0.664 0.664 0.500
```

---

(2)
Here is a relaxed PuTlCu2I8 crystal from the Alexandria database. Energies are from PBE-GGA.

## Properties
Formation energy (no corrections) in eV per atom: -0.49

Geometry as CIF:
```
data_PuTlCu2I8
_symmetry_space_group_name_H-M 'P 1'
_symmetry_Int_Tables_number 1
_cell_length_a 7.406
_cell_length_b 7.406
_cell_length_c 9.953
_cell_angle_alpha 90.60
_cell_angle_beta 90.60
_cell_angle_gamma 68.78
loop_
_symmetry_equiv_pos_as_xyz
'x,y,z'
loop_
_atom_site_label
_atom_site_type_symbol
_atom_site_fract_x
_atom_site_fract_y
_atom_site_fract_z
Pu1 Pu 0.000 0.000 0.000
Tl1 Tl 0.000 0.000 0.500
Cu1 Cu 0.355 0.355 0.238
Cu2 Cu 0.645 0.645 0.762
I1 I 0.246 0.246 0.012
I2 I 0.250 0.741 0.217
I3 I 0.259 0.750 0.783
I4 I 0.279 0.279 0.470
I5 I 0.721 0.721 0.530
I6 I 0.741 0.250 0.217
I7 I 0.750 0.259 0.783
I8 I 0.754 0.754 0.988
```

---

(3)
Here is a relaxed Ta2AlRh crystal from the Alexandria database. Energies are from PBE-GGA.

## Properties
Energy of formation in eV/atom: -0.34

Geometry as CIF:
```
data_Ta2AlRh
_symmetry_space_group_name_H-M 'P 1'
_symmetry_Int_Tables_number 1
_cell_length_a 2.844
_cell_length_b 4.537
_cell_length_c 5.084
_cell_angle_alpha 90.00
_cell_angle_beta 96.03
_cell_angle_gamma 90.00
loop_
_symmetry_equiv_pos_as_xyz
'x,y,z'
loop_
_atom_site_label
_atom_site_type_symbol
_atom_site_fract_x
_atom_site_fract_y
_atom_site_fract_z
Ta1 Ta 0.000 0.000 0.000
Ta2 Ta 0.183 0.500 0.684
Al1 Al 0.582 0.500 0.190
Rh1 Rh 0.579 0.000 0.484
```

---

(4)
Here is a relaxed Cu6PbO8 crystal from the Alexandria database. Energies are from PBE-GGA.

## Properties
Formation energy (no corrections) in eV per atom: -0.41
Offset from the most stable computed form in meV per atom: 255

Geometry as CIF:
```
data_Cu6PbO8
_symmetry_space_group_name_H-M 'P 1'
_symmetry_Int_Tables_number 1
_cell_length_a 6.096
_cell_length_b 6.096
_cell_length_c 6.096
_cell_angle_alpha 60.00
_cell_angle_beta 60.00
_cell_angle_gamma 60.00
loop_
_symmetry_equiv_pos_as_xyz
'x,y,z'
loop_
_atom_site_label
_atom_site_type_symbol
_atom_site_fract_x
_atom_site_fract_y
_atom_site_fract_z
Cu1 Cu 0.000 0.000 0.500
Cu2 Cu 0.000 0.500 0.000
Cu3 Cu 0.000 0.500 0.500
Cu4 Cu 0.500 0.000 0.000
Cu5 Cu 0.500 0.000 0.500
Cu6 Cu 0.500 0.500 0.000
Pb1 Pb 0.000 0.000 0.000
O1 O 0.250 0.250 0.250
O2 O 0.252 0.252 0.748
O3 O 0.252 0.748 0.252
O4 O 0.252 0.748 0.748
O5 O 0.748 0.252 0.252
O6 O 0.748 0.252 0.748
O7 O 0.748 0.748 0.252
O8 O 0.750 0.750 0.750
```

---

(5)
Here is a relaxed MgNi5H8 crystal from the Alexandria database. Energies are from PBE-GGA.

Geometry as CIF:
```
data_MgNi5H8
_symmetry_space_group_name_H-M 'P 1'
_symmetry_Int_Tables_number 1
_cell_length_a 6.354
_cell_length_b 6.354
_cell_length_c 6.611
_cell_angle_alpha 114.68
_cell_angle_beta 114.68
_cell_angle_gamma 24.62
loop_
_symmetry_equiv_pos_as_xyz
'x,y,z'
loop_
_atom_site_label
_atom_site_type_symbol
_atom_site_fract_x
_atom_site_fract_y
_atom_site_fract_z
Mg1 Mg 0.000 0.000 0.000
Ni1 Ni 0.093 0.093 0.423
Ni2 Ni 0.193 0.193 0.872
Ni3 Ni 0.457 0.457 0.560
Ni4 Ni 0.708 0.708 0.224
Ni5 Ni 0.798 0.798 0.650
H1 H 0.055 0.055 0.638
H2 H 0.217 0.217 0.406
H3 H 0.269 0.269 0.147
H4 H 0.390 0.390 0.741
H5 H 0.503 0.503 0.336
H6 H 0.629 0.629 0.943
H7 H 0.779 0.779 0.875
H8 H 0.860 0.860 0.456
```

---

(6)
Here is a relaxed AcPrDyHo crystal from the Alexandria database. Energies are from PBE-GGA.

## Properties
Energy of formation in eV/atom: 0.05
Offset from the most stable computed form in meV per atom: 0

Geometry as CIF:
```
data_AcPrDyHo
_symmetry_space_group_name_H-M 'P 1'
_symmetry_Int_Tables_number 1
_cell_length_a 3.720
_cell_length_b 3.720
_cell_length_c 11.921
_cell_angle_alpha 90.00
_cell_angle_beta 90.00
_cell_angle_gamma 120.00
loop_
_symmetry_equiv_pos_as_xyz
'x,y,z'
loop_
_atom_site_label
_atom_site_type_symbol
_atom_site_fract_x
_atom_site_fract_y
_atom_site_fract_z
Ac1 Ac 0.000 0.000 0.000
Pr1 Pr 0.333 0.667 0.269
Dy1 Dy 0.667 0.333 0.511
Ho1 Ho 0.333 0.667 0.743
```

---

(7)
Here is a relaxed Li2MoAs crystal from the Alexandria database. Energies are from PBE-GGA.

## Properties
Energy of formation in eV/atom: 0.18

Geometry as CIF:
```
data_Li2MoAs
_symmetry_space_group_name_H-M 'P 1'
_symmetry_Int_Tables_number 1
_cell_length_a 9.374
_cell_length_b 9.374
_cell_length_c 9.374
_cell_angle_alpha 17.27
_cell_angle_beta 17.27
_cell_angle_gamma 17.27
loop_
_symmetry_equiv_pos_as_xyz
'x,y,z'
loop_
_atom_site_label
_atom_site_type_symbol
_atom_site_fract_x
_atom_site_fract_y
_atom_site_fract_z
Li1 Li 0.243 0.243 0.243
Li2 Li 0.757 0.757 0.757
Mo1 Mo 0.000 0.000 0.000
As1 As 0.500 0.500 0.500
```

---

(8)
Here is a relaxed SmHo4S7 crystal from the Alexandria database. Energies are from PBE-GGA.

## Properties
Formation energy (no corrections) in eV per atom: -2.06

Geometry as CIF:
```
data_SmHo4S7
_symmetry_space_group_name_H-M 'P 1'
_symmetry_Int_Tables_number 1
_cell_length_a 6.726
_cell_length_b 6.726
_cell_length_c 11.631
_cell_angle_alpha 103.85
_cell_angle_beta 103.85
_cell_angle_gamma 32.87
loop_
_symmetry_equiv_pos_as_xyz
'x,y,z'
loop_
_atom_site_label
_atom_site_type_symbol
_atom_site_fract_x
_atom_site_fract_y
_atom_site_fract_z
Sm1 Sm 0.000 0.000 0.000
Ho1 Ho 0.112 0.112 0.422
Ho2 Ho 0.224 0.224 0.839
Ho3 Ho 0.412 0.412 0.607
Ho4 Ho 0.812 0.812 0.235
S1 S 0.069 0.069 0.635
S2 S 0.156 0.156 0.210
S3 S 0.365 0.365 0.069
S4 S 0.454 0.454 0.370
S5 S 0.614 0.614 0.916
S6 S 0.771 0.771 0.471
S7 S 0.850 0.850 0.769
```

---

(9)
Here is a relaxed RuSe crystal from the Alexandria database. Energies are from PBE-GGA.

## Properties
Formation energy (no corrections) in eV per atom: 0.02

Geometry as CIF:
```
data_RuSe
_symmetry_space_group_name_H-M 'P 1'
_symmetry_Int_Tables_number 1
_cell_length_a 10.536
_cell_length_b 10.536
_cell_length_c 3.860
_cell_angle_alpha 90.00
_cell_angle_beta 90.00
_cell_angle_gamma 90.00
loop_
_symmetry_equiv_pos_as_xyz
'x,y,z'
loop_
_atom_site_label
_atom_site_type_symbol
_atom_site_fract_x
_atom_site_fract_y
_atom_site_fract_z
Ru1 Ru 0.061 0.618 0.000
Ru2 Ru 0.100 0.291 0.500
Ru3 Ru 0.291 0.900 0.500
Ru4 Ru 0.382 0.061 0.000
Ru5 Ru 0.618 0.939 0.000
Ru6 Ru 0.709 0.100 0.500
Ru7 Ru 0.900 0.709 0.500
Ru8 Ru 0.939 0.382 0.000
Se1 Se 0.131 0.740 0.500
Se2 Se 0.166 0.413 0.000
Se3 Se 0.260 0.131 0.500
Se4 Se 0.413 0.834 0.000
Se5 Se 0.587 0.166 0.000
Se6 Se 0.740 0.869 0.500
Se7 Se 0.834 0.587 0.000
Se8 Se 0.869 0.260 0.500
```

---

(10)
Here is a relaxed SmPuMgIn crystal from the Alexandria database. Energies are from PBE-GGA.

## Properties
Energy of formation in eV/atom: -0.12

Geometry as CIF:
```
data_SmPuMgIn
_symmetry_space_group_name_H-M 'P 1'
_symmetry_Int_Tables_number 1
_cell_length_a 5.395
_cell_length_b 5.395
_cell_length_c 5.395
_cell_angle_alpha 60.00
_cell_angle_beta 60.00
_cell_angle_gamma 60.00
loop_
_symmetry_equiv_pos_as_xyz
'x,y,z'
loop_
_atom_site_label
_atom_site_type_symbol
_atom_site_fract_x
_atom_site_fract_y
_atom_site_fract_z
Sm1 Sm 0.000 0.000 0.000
Pu1 Pu 0.500 0.500 0.500
Mg1 Mg 0.250 0.250 0.250
In1 In 0.750 0.750 0.750
```

---

(11)
Here is a relaxed Ce2GdHg crystal from the Alexandria database. Energies are from PBE-GGA.

## Properties
Energy of formation in eV/atom: 0.01
Offset from the most stable computed form in meV per atom: 108

Geometry as CIF:
```
data_Ce2GdHg
_symmetry_space_group_name_H-M 'P 1'
_symmetry_Int_Tables_number 1
_cell_length_a 5.440
_cell_length_b 5.440
_cell_length_c 5.440
_cell_angle_alpha 60.00
_cell_angle_beta 60.00
_cell_angle_gamma 60.00
loop_
_symmetry_equiv_pos_as_xyz
'x,y,z'
loop_
_atom_site_label
_atom_site_type_symbol
_atom_site_fract_x
_atom_site_fract_y
_atom_site_fract_z
Ce1 Ce 0.250 0.250 0.250
Ce2 Ce 0.750 0.750 0.750
Gd1 Gd 0.000 0.000 0.000
Hg1 Hg 0.500 0.500 0.500
```

---

(12)
Here is a relaxed HfNb2Tc crystal from the Alexandria database. Energies are from PBE-GGA.

## Properties
Energy of formation in eV/atom: -0.06
Offset from the most stable computed form in meV per atom: 213

Geometry as CIF:
```
data_HfNb2Tc
_symmetry_space_group_name_H-M 'P 1'
_symmetry_Int_Tables_number 1
_cell_length_a 4.646
_cell_length_b 4.646
_cell_length_c 3.298
_cell_angle_alpha 90.00
_cell_angle_beta 90.00
_cell_angle_gamma 90.00
loop_
_symmetry_equiv_pos_as_xyz
'x,y,z'
loop_
_atom_site_label
_atom_site_type_symbol
_atom_site_fract_x
_atom_site_fract_y
_atom_site_fract_z
Hf1 Hf 0.000 0.000 0.000
Nb1 Nb 0.000 0.500 0.500
Nb2 Nb 0.500 0.000 0.500
Tc1 Tc 0.500 0.500 0.000
```

---

no.,VASP energy (eV/atom)
1,-6.422
2,-3.594
3,-9.038
4,-4.940
5,-4.135
6,-4.470
7,-4.644
8,-6.386
9,-6.357
10,-5.963
11,-6.554
12,-10.177